# 1
This record from OQMD via LeMat-Bulk describes a relaxed CsSrGdSe3 crystal. The functional is PBE-GGA.

```
12
Lattice="2.3727 -8.2561 0.0000 2.3727 8.2561 0.0000 0.0000 0.0000 12.4387" Properties=species:S:1:pos:R:3 pbc="T T T"
Cs 2.3727 4.1401 9.3290
Cs 2.3727 -4.1401 3.1097
Sr 2.3727 0.0000 0.0000
Sr 2.3727 0.0000 6.2193
Gd 2.3727 7.8403 3.1097
Gd 2.3727 -7.8403 9.3290
Se 2.3727 6.3319 0.8788
Se 2.3727 6.3319 5.3405
Se 2.3727 1.0688 3.1097
Se 2.3727 -1.0688 9.3290
Se 2.3727 -6.3319 7.0981
Se 2.3727 -6.3319 11.5599
```

Results
The magnetic moment is 0.01 μB per cell. Its calculated density is 4.19 g cm⁻³.

# 2
This record from OQMD via LeMat-Bulk describes a relaxed Ho2ErTmTl2 crystal. The functional is PBE-GGA.

```
6
Lattice="5.3493 0.0000 0.0000 -2.6746 4.6326 0.0000 0.0000 0.0000 6.6651" Properties=species:S:1:pos:R:3 pbc="T T T"
Ho 0.0000 0.0000 1.6628
Ho 0.0000 0.0000 5.0023
Er 2.6746 1.5442 3.3325
Tm 0.0000 3.0884 0.0000
Tl 0.0000 3.0884 3.3325
Tl 2.6746 1.5442 0.0000
```

Results
The magnetic moment is 0.87 μB per cell. Its calculated density is 10.81 g cm⁻³.

# 3
This record from OQMD via LeMat-Bulk describes a relaxed CsZr2 crystal. The functional is PBE-GGA.

```
6
Lattice="7.3553 0.0000 0.0000 -3.6776 6.3699 0.0000 0.0000 0.0000 4.9725" Properties=species:S:1:pos:R:3 pbc="T T T"
Cs 0.0000 4.2466 0.0000
Cs 3.6776 2.1233 0.0000
Zr 0.0000 0.0000 0.0000
Zr -2.8570 4.9485 2.4863
Zr 0.8206 1.4214 2.4863
Zr 5.7140 0.0000 2.4863
```

Results
The magnetic moment is 0.10 μB per cell. Its calculated density is 4.49 g cm⁻³.

# 4
This record from OQMD via LeMat-Bulk describes a relaxed LuAgSnTe3 crystal. The functional is PBE-GGA.

```
24
Lattice="12.5338 0.0000 0.0000 0.0000 4.4274 0.0000 0.0000 0.0000 12.6408" Properties=species:S:1:pos:R:3 pbc="T T T"
Lu 0.3270 1.1069 2.3763
Lu 5.9399 3.3206 8.6967
Lu 6.5939 1.1069 3.9441
Lu 12.2068 3.3206 10.2645
Ag 2.9677 3.3206 3.8117
Ag 3.2992 1.1069 10.1321
Ag 9.2346 3.3206 2.5087
Ag 9.5661 1.1069 8.8292
Sn 2.3413 1.1069 6.1221
Sn 3.9256 3.3206 12.4425
Sn 8.6082 1.1069 0.1983
Sn 10.1925 3.3206 6.5187
Te 0.2949 3.3206 4.6031
Te 1.0985 1.1069 11.8057
Te 2.8848 3.3206 8.4235
Te 3.3821 1.1069 2.1031
Te 5.1684 3.3206 5.4853
Te 5.9720 1.1069 10.9236
Te 6.5618 3.3206 1.7173
Te 7.3654 1.1069 7.1555
Te 9.1517 3.3206 10.5377
Te 9.6490 1.1069 4.2173
Te 11.4353 3.3206 0.8351
Te 12.2389 1.1069 8.0377
```

Results
The magnetic moment is 0.03 μB per cell. The relative energy among the computed polymorphs is 75 meV/atom. Its calculated density is 7.43 g cm⁻³.

# 5
This record from OQMD via LeMat-Bulk describes a relaxed NdTaNi crystal. The functional is PBE-GGA.

```
3
Lattice="0.0000 3.2115 3.2115 3.2115 0.0000 3.2115 3.2115 3.2115 0.0000" Properties=species:S:1:pos:R:3 pbc="T T T"
Nd 0.0000 0.0000 0.0000
Ta 1.6057 1.6057 1.6057
Ni 4.8172 4.8172 4.8172
```

Results
The magnetic moment is 0.02 μB per cell. The relative energy among the computed polymorphs is 912 meV/atom. Its calculated density is 9.62 g cm⁻³. Its energy of formation from the pure elements is 1.46 eV/atom.

# 6
This record from OQMD via LeMat-Bulk describes a relaxed MgTaTlFe crystal. The functional is PBE-GGA.

```
4
Lattice="0.0000 3.3073 3.3073 3.3073 0.0000 3.3073 3.3073 3.3073 0.0000" Properties=species:S:1:pos:R:3 pbc="T T T"
Mg 0.0000 0.0000 0.0000
Ta 4.9610 4.9610 4.9610
Tl 3.3073 3.3073 3.3073
Fe 1.6537 1.6537 1.6537
```

Results
The magnetic moment is 1.89 μB per cell. The relative energy among the computed polymorphs is 313 meV/atom. Its calculated density is 10.68 g cm⁻³.

# 7
This record from OQMD via LeMat-Bulk describes a relaxed CdGeSeO crystal. The functional is PBE-GGA.

```
16
Lattice="6.1171 0.0000 0.0000 0.0000 7.3865 0.0000 0.0000 0.0000 8.1092" Properties=species:S:1:pos:R:3 pbc="T T T"
Cd 0.0774 1.4541 3.0758
Cd 2.9812 5.9324 7.1304
Cd 3.1359 2.2391 5.0333
Cd 6.0398 5.1473 0.9788
Ge 0.1193 0.8125 7.7314
Ge 2.9392 6.5740 3.6768
Ge 3.1779 2.8808 0.3777
Ge 5.9978 4.5057 4.4323
Se 1.5081 3.7034 6.4360
Se 1.5505 3.6831 2.3814
Se 4.5667 7.3763 1.6731
Se 4.6090 0.0101 5.7277
O 1.1152 6.7316 7.9676
O 1.9434 0.6549 3.9130
O 4.1738 4.3482 0.1416
O 5.0020 3.0383 4.1962
```

Results
The relative energy among the computed polymorphs is 78 meV/atom. Its calculated density is 5.08 g cm⁻³.

# 8
This record from OQMD via LeMat-Bulk describes a relaxed DyTm2Mg3CdIn2 crystal. The functional is PBE-GGA.

```
9
Lattice="4.6094 0.0000 0.0000 0.0000 6.5061 3.7365 0.0000 -6.5061 3.7365" Properties=species:S:1:pos:R:3 pbc="T T T"
Dy 0.0000 0.0000 0.0000
Tm 0.0000 -2.7850 4.8011
Tm 0.0000 2.7850 4.8011
Mg 2.3047 -1.5625 2.3084
Mg 2.3047 1.5625 2.3084
Mg 2.3047 0.0000 5.0060
Cd 0.0000 0.0000 3.2268
In 2.3047 -4.3232 3.1997
In 2.3047 4.3232 3.1997
```

Results
The magnetic moment is 0.00 μB per cell. Its calculated density is 6.78 g cm⁻³.

# 9
This record from OQMD via LeMat-Bulk describes a relaxed Ba3Ta2CdO9 crystal. The functional is PBE-GGA.

```
15
Lattice="5.8907 0.0000 0.0000 -2.9454 5.1015 0.0000 0.0000 0.0000 7.2813" Properties=species:S:1:pos:R:3 pbc="T T T"
Ba 0.0000 0.0000 0.0000
Ba 0.0000 3.4010 4.8266
Ba 2.9454 1.7005 2.4547
Ta 0.0000 3.4010 1.2190
Ta 2.9454 1.7005 6.0623
Cd 0.0000 0.0000 3.6407
O -1.4727 2.5508 0.0000
O 0.0000 1.7980 2.2857
O -1.3883 4.2025 2.2857
O 1.5571 0.8990 4.9956
O 2.9454 0.0000 0.0000
O 1.4727 2.5508 0.0000
O 1.3883 4.2025 2.2857
O 4.3336 0.8990 4.9956
O 2.9454 3.3036 4.9956
```

Results
The magnetic moment is 0.00 μB per cell. Its calculated density is 7.82 g cm⁻³.

# 10
This record from OQMD via LeMat-Bulk describes a relaxed Gd2Ni2Ge crystal. The functional is PBE-GGA.

```
10
Lattice="-3.3874 5.2952 2.9164 3.3874 -5.2952 2.9164 3.3874 5.2952 -2.9164" Properties=species:S:1:pos:R:3 pbc="T T T"
Gd 1.1080 1.5689 0.0000
Gd 1.1080 -1.5689 2.9164
Gd 2.2794 6.8641 0.0000
Gd 2.2794 3.7263 2.9164
Ni 4.9733 1.1038 0.0000
Ni 1.5859 4.1914 0.0000
Ni 1.8015 1.1038 2.9164
Ni -1.5859 4.1914 2.9164
Ge 3.3874 0.0000 1.4582
Ge 0.0000 5.2952 1.4582
```

Results
The magnetic moment is 0.00 μB per cell. Its calculated density is 8.01 g cm⁻³.

# 11
This record from OQMD via LeMat-Bulk describes a relaxed MgTePtO crystal. The functional is PBE-GGA.

```
32
Lattice="6.2965 0.0000 0.0000 0.0000 8.5577 0.0000 0.0000 0.0000 11.0732" Properties=species:S:1:pos:R:3 pbc="T T T"
Mg 0.0912 2.1287 1.6514
Mg 0.0912 2.1502 7.1880
Mg 3.0571 6.4075 1.6514
Mg 3.0571 6.4290 7.1880
Mg 3.2395 2.1287 3.8852
Mg 3.2395 2.1502 9.4218
Mg 6.2053 6.4075 3.8852
Mg 6.2053 6.4290 9.4218
Te 1.5731 0.0017 5.5195
Te 1.5751 8.5560 11.0561
Te 1.5751 4.2806 5.5195
Te 1.5731 4.2771 11.0561
Te 4.7214 0.0017 0.0171
Te 4.7234 8.5560 5.5537
Te 4.7234 4.2806 0.0171
Te 4.7214 4.2771 5.5537
Pt 1.5744 0.0119 8.3265
Pt 1.5744 4.2670 2.7899
Pt 1.5738 4.2908 8.3265
Pt 1.5738 8.5458 2.7899
Pt 4.7227 0.0119 8.2833
Pt 4.7227 4.2670 2.7467
Pt 4.7221 4.2908 8.2833
Pt 4.7221 8.5458 2.7467
O 1.3595 6.4068 2.6036
O 1.3595 6.4298 8.1402
O 1.7887 2.1279 2.6036
O 1.7887 2.1509 8.1402
O 4.5078 6.4068 2.9330
O 4.5078 6.4298 8.4696
O 4.9370 2.1279 2.9330
O 4.9370 2.1509 8.4696
```

Results
The magnetic moment is 0.01 μB per cell. The relative energy among the computed polymorphs is 497 meV/atom. Its calculated density is 8.08 g cm⁻³.

# 12
This record from OQMD via LeMat-Bulk describes a relaxed SrTaCuPt crystal. The functional is PBE-GGA.

```
4
Lattice="0.0000 3.4036 3.4036 3.4036 0.0000 3.4036 3.4036 3.4036 0.0000" Properties=species:S:1:pos:R:3 pbc="T T T"
Sr 0.0000 0.0000 0.0000
Ta 3.4036 3.4036 3.4036
Cu 1.7018 1.7018 1.7018
Pt 5.1054 5.1054 5.1054
```

Results
The magnetic moment is 0.02 μB per cell. The relative energy among the computed polymorphs is 0 meV/atom. Its calculated density is 11.10 g cm⁻³.

For reference, total DFT energy (no corrections) by record: -4.619 -4.071 -4.946 -4.021 -5.936 -5.288 -4.147 -3.074 -7.746 -5.401 -4.659 -5.573 eV/atom.